The following is a DFT calculation (PBE-GGA) of a relaxed structure of Zr2Mo.

Cell and atoms, written as CIF:
```
data_Zr2Mo
_chemical_formula_sum 'Zr8 Mo4'
_space_group_name_H-M_alt 'C m c m'
_space_group_IT_number 63
_space_group_name_Hall '-C 2c 2'
_cell_length_a 3.4029
_cell_length_b 14.3283
_cell_length_c 5.0117
_cell_angle_alpha 90.00
_cell_angle_beta 90.00
_cell_angle_gamma 90.00
loop_
_atom_site_label
_atom_site_type_symbol
_atom_site_fract_x
_atom_site_fract_y
_atom_site_fract_z
Zr1 Zr 0.0000 0.0747 0.2500
Zr2 Zr 0.0000 0.2293 0.7500
Mo1 Mo 0.0000 0.4209 0.2500
```

Output
* E above lowest polymorph: 0.31 kcal/mol of atoms
* theoretical density: 7.57 g/cm3
* total energy: -9.30 eV per atom